20
Lattice="-1.4836 -5.2543 1.5613 0.3602 -1.7885 -5.6767 7.9107 -1.6521 1.0224" Properties=species:S:1:pos:R:3 comment="MnNbBi2O6 PBE+U optimized geometry" vol_a3_per_cell=275.7 energy_ev_per_atom=-7.14 pbc="T T T"
O 3.2156 -3.6720 -3.1630
O -0.0641 -2.9539 -3.2777
O 5.9898 -2.6602 -1.6419
O 3.5812 -2.0062 -0.2134
O 0.3382 -1.4706 -0.9076
O 6.8515 -5.7409 0.1847
O 0.7976 -6.0347 -1.4511
O 6.4491 -7.2242 -2.1854
O 5.6436 -4.9727 -4.0668
O 3.5717 -5.0228 0.0700
O 3.2062 -6.6887 -2.8796
O 1.1438 -3.7221 0.9738
Bi 5.5596 -4.9385 -1.6327
Bi 1.2278 -3.7564 -1.4603
Bi 4.3084 -6.5494 1.9270
Bi 2.4789 -2.1455 -5.0200
Nb 3.2136 -3.4532 1.2919
Nb 0.1801 -0.8943 -2.8384
Mn 4.1355 -1.7203 -2.3271
Mn -0.7418 -2.6271 0.7806